No. 1
A plane-wave DFT calculation with PBE-GGA was carried out for crystalline LaMg2Zn3 at its relaxed geometry.

a b c (Å): 6.601 6.601 6.138
angles (deg): 90.00 90.00 79.10
Positions (direct):
La (0.178, 0.822, 0.750)
La (0.822, 0.178, 0.250)
Mg (0.285, 0.285, 0.000)
Mg (0.285, 0.285, 0.500)
Mg (0.715, 0.715, 0.000)
Mg (0.715, 0.715, 0.500)
Zn (0.060, 0.673, 0.250)
Zn (0.327, 0.940, 0.250)
Zn (0.444, 0.556, 0.250)
Zn (0.556, 0.444, 0.750)
Zn (0.673, 0.060, 0.750)
Zn (0.940, 0.327, 0.750)

The uncorrected energy comes out at -2.186 eV/atom. As for the space group: Cmcm, No. 63. For the density of states at the Fermi level, the calculation gives 3.2 states/eV/f.u.

No. 2
A plane-wave DFT calculation with PBE-GGA was carried out for crystalline LaMg2Zn6 at its relaxed geometry.

a b c (Å): 7.518 7.518 7.518
angles (deg): 148.66 123.46 66.09
Positions (direct):
La (0.000, 0.000, 0.000)
Mg (0.375, 0.875, 0.500)
Mg (0.625, 0.125, 0.500)
Zn (0.011, 0.313, 0.698)
Zn (0.326, 0.500, 0.826)
Zn (0.385, 0.687, 0.698)
Zn (0.615, 0.313, 0.302)
Zn (0.674, 0.500, 0.174)
Zn (0.989, 0.687, 0.302)

The uncorrected energy comes out at -1.908 eV/atom. As for the space group: Immm, No. 71. For the density of states at the Fermi level, the calculation gives 3.9 states/eV/f.u.

No. 3
A plane-wave DFT calculation with PBE-GGA was carried out for crystalline LaMg2Zn4 at its relaxed geometry.

a b c (Å): 7.035 7.035 5.607
angles (deg): 90.00 90.00 90.00
Positions (direct):
La (0.000, 0.000, 0.000)
La (0.500, 0.500, 0.500)
Mg (0.000, 0.500, 0.250)
Mg (0.000, 0.500, 0.750)
Mg (0.500, 0.000, 0.250)
Mg (0.500, 0.000, 0.750)
Zn (0.188, 0.188, 0.500)
Zn (0.188, 0.812, 0.500)
Zn (0.312, 0.312, 0.000)
Zn (0.312, 0.688, 0.000)
Zn (0.688, 0.312, 0.000)
Zn (0.688, 0.688, 0.000)
Zn (0.812, 0.188, 0.500)
Zn (0.812, 0.812, 0.500)

The uncorrected energy comes out at -2.128 eV/atom. As for the space group: I4/mmm, No. 139. For the density of states at the Fermi level, the calculation gives 2.0 states/eV/f.u.

No. 4
A plane-wave DFT calculation with PBE-GGA was carried out for crystalline La2Mg3Zn3 at its relaxed geometry.

a b c (Å): 8.807 8.807 8.807
angles (deg): 33.51 33.51 33.51
Positions (direct):
La (0.000, 0.000, 0.000)
La (0.490, 0.490, 0.490)
Mg (0.242, 0.242, 0.242)
Mg (0.618, 0.618, 0.618)
Mg (0.747, 0.747, 0.747)
Zn (0.122, 0.122, 0.122)
Zn (0.365, 0.365, 0.365)
Zn (0.874, 0.874, 0.874)

The uncorrected energy comes out at -2.588 eV/atom. As for the space group: R3m, No. 160. For the density of states at the Fermi level, the calculation gives 2.7 states/eV/f.u.